## Tm6TlPb3 (PBE-GGA)

Data for Tm6TlPb3 after structural relaxation.

Cell lengths 4.5674, 10.9117, 13.0032 Å; angles 112.39, 90.00, 90.00 degrees
Element x y z (fractional)
Tm 0.2500 0.5239 0.3529
Tm 0.2500 0.1573 0.8893
Tm 0.2500 0.5728 0.8890
Pb 0.7500 0.1185 0.0427
Tl 0.7500 0.0636 0.6914
Pb 0.2500 0.3230 0.4652
Tm 0.7500 0.4272 0.1110
Pb 0.7500 0.3681 0.8553
Tm 0.2500 0.8907 0.5567
Tm 0.7500 0.8401 0.7888
Tm 0.7500 0.1093 0.4433
Pb 0.2500 0.8815 0.9573
Pb 0.2500 0.6319 0.1447
Tm 0.2500 0.1599 0.2112
Tm 0.7500 0.4761 0.6471
Pb 0.7500 0.6770 0.5348
Tl 0.2500 0.9364 0.3086
Tm 0.7500 0.8427 0.1107
Tm 0.7500 0.7480 0.3325
Tm 0.2500 0.2520 0.6675

Results
- Formation enthalpy at 0 K: -0.25 eV/atom